(1)
{
  "formula": "Sb3OsCl",
  "functional": "GGA-PBE",
  "state": "relaxed",
  "polymorph_energy_mev_per_atom": 0.0,
  "spacegroup": "No. 221",
  "magnetic_moment_mub_per_cell": 0.00,
  "crystal_system": "cubic",
  "raw_formation_energy_ev_per_atom": 0.491,
  "dft_energy_ev_per_atom": -4.60,
  "lattice": [[5.2005, 0.0000, 0.0000], [0.0000, 5.2005, 0.0000], [0.0000, 0.0000, 5.2005]],
  "species": ["Sb", "Sb", "Sb", "Os", "Cl"],
  "fractional_positions": [[0.0000, 0.0000, 0.5000], [0.0000, 0.5000, 0.0000], [0.5000, 0.0000, 0.0000], [0.0000, 0.0000, 0.0000], [0.5000, 0.5000, 0.5000]]
}

=====

(2)
{
  "formula": "SbOsCl3",
  "functional": "GGA-PBE",
  "state": "relaxed",
  "polymorph_energy_mev_per_atom": 455.9,
  "spacegroup": "No. 221",
  "magnetic_moment_mub_per_cell": 4.31,
  "crystal_system": "cubic",
  "raw_formation_energy_ev_per_atom": 0.983,
  "dft_energy_ev_per_atom": -3.20,
  "lattice": [[5.3769, 0.0000, 0.0000], [0.0000, 5.3769, 0.0000], [0.0000, 0.0000, 5.3769]],
  "species": ["Sb", "Os", "Cl", "Cl", "Cl"],
  "fractional_positions": [[0.0000, 0.0000, 0.0000], [0.5000, 0.5000, 0.5000], [0.0000, 0.0000, 0.5000], [0.0000, 0.5000, 0.0000], [0.5000, 0.0000, 0.0000]]
}

=====

(3)
{
  "formula": "SbOs2Cl",
  "functional": "GGA-PBE",
  "state": "relaxed",
  "polymorph_energy_mev_per_atom": 136.7,
  "spacegroup": "No. 99",
  "magnetic_moment_mub_per_cell": 0.00,
  "crystal_system": "tetragonal",
  "raw_formation_energy_ev_per_atom": 0.414,
  "dft_energy_ev_per_atom": -6.69,
  "lattice": [[2.9431, 0.0000, 0.0000], [0.0000, 2.9431, 0.0000], [0.0000, 0.0000, 9.0154]],
  "species": ["Sb", "Os", "Os", "Cl"],
  "fractional_positions": [[0.0000, 0.0000, 0.0000], [0.0000, 0.0000, 0.5822], [0.5000, 0.5000, 0.7548], [0.5000, 0.5000, 0.3787]]
}

=====

(4)
{
  "formula": "Sb4OsCl",
  "functional": "GGA-PBE",
  "state": "relaxed",
  "spacegroup": "No. 216",
  "magnetic_moment_mub_per_cell": 3.28,
  "crystal_system": "cubic",
  "raw_formation_energy_ev_per_atom": 1.061,
  "dft_energy_ev_per_atom": -3.87,
  "lattice": [[0.0000, 4.3143, 4.3143], [4.3143, 0.0000, 4.3143], [4.3143, 4.3143, 0.0000]],
  "species": ["Sb", "Sb", "Sb", "Sb", "Os", "Cl"],
  "fractional_positions": [[0.1232, 0.1232, 0.1232], [0.1232, 0.1232, 0.6303], [0.1232, 0.6303, 0.1232], [0.6303, 0.1232, 0.1232], [0.5000, 0.5000, 0.5000], [0.7500, 0.7500, 0.7500]]
}

=====

(5)
{
  "formula": "SbOs4Cl",
  "functional": "GGA-PBE",
  "state": "relaxed",
  "spacegroup": "No. 216",
  "magnetic_moment_mub_per_cell": 2.97,
  "crystal_system": "cubic",
  "raw_formation_energy_ev_per_atom": 1.324,
  "dft_energy_ev_per_atom": -7.16,
  "lattice": [[0.0000, 3.7638, 3.7638], [3.7638, 0.0000, 3.7638], [3.7638, 3.7638, 0.0000]],
  "species": ["Sb", "Os", "Os", "Os", "Os", "Cl"],
  "fractional_positions": [[0.0000, 0.0000, 0.0000], [0.3747, 0.3747, 0.3747], [0.3747, 0.3747, 0.8760], [0.3747, 0.8760, 0.3747], [0.8760, 0.3747, 0.3747], [0.7500, 0.7500, 0.7500]]
}

=====

(6)
{
  "formula": "SbOs2Cl",
  "functional": "GGA-PBE",
  "state": "relaxed",
  "polymorph_energy_mev_per_atom": 851.4,
  "spacegroup": "No. 216",
  "magnetic_moment_mub_per_cell": 0.00,
  "crystal_system": "cubic",
  "raw_formation_energy_ev_per_atom": 1.128,
  "dft_energy_ev_per_atom": -5.98,
  "lattice": [[6.5017, 0.0000, 0.0000], [0.0000, 6.5017, 0.0000], [0.0000, 0.0000, 6.5017]],
  "species": ["Sb", "Sb", "Sb", "Sb", "Os", "Os", "Os", "Os", "Os", "Os", "Os", "Os", "Cl", "Cl", "Cl", "Cl"],
  "fractional_positions": [[0.0000, 0.0000, 0.0000], [0.0000, 0.5000, 0.5000], [0.5000, 0.0000, 0.5000], [0.5000, 0.5000, 0.0000], [0.0000, 0.0000, 0.5000], [0.0000, 0.5000, 0.0000], [0.2500, 0.2500, 0.7500], [0.2500, 0.7500, 0.2500], [0.5000, 0.0000, 0.0000], [0.5000, 0.5000, 0.5000], [0.7500, 0.2500, 0.2500], [0.7500, 0.7500, 0.7500], [0.2500, 0.2500, 0.2500], [0.2500, 0.7500, 0.7500], [0.7500, 0.2500, 0.7500], [0.7500, 0.7500, 0.2500]]
}

=====

(7)
{
  "formula": "SbOs2Cl",
  "functional": "GGA-PBE",
  "state": "relaxed",
  "polymorph_energy_mev_per_atom": 648.3,
  "spacegroup": "No. 122",
  "magnetic_moment_mub_per_cell": 0.00,
  "crystal_system": "tetragonal",
  "raw_formation_energy_ev_per_atom": 0.925,
  "dft_energy_ev_per_atom": -6.18,
  "lattice": [[4.4895, 0.0000, 0.0000], [0.0000, 4.4895, 0.0000], [0.0000, 0.0000, 15.2974]],
  "species": ["Sb", "Sb", "Sb", "Sb", "Os", "Os", "Os", "Os", "Os", "Os", "Os", "Os", "Cl", "Cl", "Cl", "Cl"],
  "fractional_positions": [[0.0000, 0.0000, 0.0000], [0.0000, 0.5000, 0.2500], [0.5000, 0.0000, 0.7500], [0.5000, 0.5000, 0.5000], [0.1610, 0.2500, 0.6250], [0.2500, 0.6610, 0.8750], [0.2500, 0.8390, 0.3750], [0.3390, 0.2500, 0.1250], [0.6610, 0.7500, 0.1250], [0.7500, 0.1610, 0.3750], [0.7500, 0.3390, 0.8750], [0.8390, 0.7500, 0.6250], [0.0000, 0.0000, 0.5000], [0.0000, 0.5000, 0.7500], [0.5000, 0.0000, 0.2500], [0.5000, 0.5000, 0.0000]]
}

=====

(8)
{
  "formula": "SiSbOsCl2",
  "functional": "GGA-PBE",
  "state": "relaxed",
  "spacegroup": "No. 123",
  "magnetic_moment_mub_per_cell": 2.84,
  "crystal_system": "tetragonal",
  "raw_formation_energy_ev_per_atom": 0.957,
  "dft_energy_ev_per_atom": -3.94,
  "lattice": [[4.4775, 0.0000, 0.0000], [0.0000, 4.4775, 0.0000], [0.0000, 0.0000, 5.7640]],
  "species": ["Si", "Sb", "Os", "Cl", "Cl"],
  "fractional_positions": [[0.0000, 0.0000, 0.0000], [0.0000, 0.0000, 0.5000], [0.5000, 0.5000, 0.5000], [0.0000, 0.5000, 0.0000], [0.5000, 0.0000, 0.0000]]
}

=====

(9)
{
  "formula": "Sn2SbOsCl",
  "functional": "GGA-PBE",
  "state": "relaxed",
  "spacegroup": "No. 123",
  "magnetic_moment_mub_per_cell": 0.00,
  "crystal_system": "tetragonal",
  "raw_formation_energy_ev_per_atom": 0.423,
  "dft_energy_ev_per_atom": -4.62,
  "lattice": [[5.3614, 0.0000, 0.0000], [0.0000, 5.3614, 0.0000], [0.0000, 0.0000, 4.4861]],
  "species": ["Sn", "Sn", "Sb", "Os", "Cl"],
  "fractional_positions": [[0.0000, 0.5000, 0.0000], [0.5000, 0.0000, 0.0000], [0.0000, 0.0000, 0.5000], [0.5000, 0.5000, 0.0000], [0.5000, 0.5000, 0.5000]]
}

=====

(10)
{
  "formula": "Ti2SbOsCl",
  "functional": "GGA-PBE",
  "state": "relaxed",
  "spacegroup": "No. 123",
  "magnetic_moment_mub_per_cell": 1.06,
  "crystal_system": "tetragonal",
  "raw_formation_energy_ev_per_atom": 1.603,
  "dft_energy_ev_per_atom": -4.99,
  "lattice": [[5.1953, 0.0000, 0.0000], [0.0000, 5.1953, 0.0000], [0.0000, 0.0000, 5.0141]],
  "species": ["Ti", "Ti", "Sb", "Os", "Cl"],
  "fractional_positions": [[0.0000, 0.5000, 0.0000], [0.5000, 0.0000, 0.0000], [0.0000, 0.0000, 0.0000], [0.5000, 0.5000, 0.5000], [0.0000, 0.0000, 0.5000]]
}

=====

(11)
{
  "formula": "Zr2SbOsCl",
  "functional": "GGA-PBE",
  "state": "relaxed",
  "spacegroup": "No. 123",
  "magnetic_moment_mub_per_cell": 1.46,
  "crystal_system": "tetragonal",
  "raw_formation_energy_ev_per_atom": 1.495,
  "dft_energy_ev_per_atom": -5.36,
  "lattice": [[5.4059, 0.0000, 0.0000], [0.0000, 5.4059, 0.0000], [0.0000, 0.0000, 4.8999]],
  "species": ["Zr", "Zr", "Sb", "Os", "Cl"],
  "fractional_positions": [[0.0000, 0.5000, 0.0000], [0.5000, 0.0000, 0.0000], [0.0000, 0.0000, 0.0000], [0.5000, 0.5000, 0.5000], [0.0000, 0.0000, 0.5000]]
}

=====

(12)
{
  "formula": "ScOsCl",
  "functional": "GGA-PBE",
  "state": "relaxed",
  "polymorph_energy_mev_per_atom": 928.3,
  "spacegroup": "No. 216",
  "magnetic_moment_mub_per_cell": 8.01,
  "crystal_system": "cubic",
  "raw_formation_energy_ev_per_atom": 0.589,
  "dft_energy_ev_per_atom": -5.88,
  "lattice": [[6.4215, 0.0000, 0.0000], [0.0000, 6.4215, 0.0000], [0.0000, 0.0000, 6.4215]],
  "species": ["Sc", "Sc", "Sc", "Sc", "Os", "Os", "Os", "Os", "Cl", "Cl", "Cl", "Cl"],
  "fractional_positions": [[0.0000, 0.0000, 0.0000], [0.0000, 0.5000, 0.5000], [0.5000, 0.0000, 0.5000], [0.5000, 0.5000, 0.0000], [0.2500, 0.2500, 0.2500], [0.2500, 0.7500, 0.7500], [0.7500, 0.2500, 0.7500], [0.7500, 0.7500, 0.2500], [0.2500, 0.2500, 0.7500], [0.2500, 0.7500, 0.2500], [0.7500, 0.2500, 0.2500], [0.7500, 0.7500, 0.7500]]
}

=====

(13)
{
  "formula": "ScOsCl",
  "functional": "GGA-PBE",
  "state": "relaxed",
  "polymorph_energy_mev_per_atom": 106.9,
  "spacegroup": "No. 42",
  "magnetic_moment_mub_per_cell": 0.00,
  "crystal_system": "orthorhombic",
  "raw_formation_energy_ev_per_atom": -0.232,
  "dft_energy_ev_per_atom": -6.70,
  "lattice": [[3.3576, 0.0000, 0.0000], [0.0000, 4.8976, 0.0000], [0.0000, 0.0000, 14.7663]],
  "species": ["Sc", "Sc", "Sc", "Sc", "Os", "Os", "Os", "Os", "Cl", "Cl", "Cl", "Cl"],
  "fractional_positions": [[0.0000, 0.0000, 0.0000], [0.0000, 0.5000, 0.5000], [0.5000, 0.0000, 0.5000], [0.5000, 0.5000, 0.0000], [0.0000, 0.0000, 0.6329], [0.0000, 0.5000, 0.1329], [0.5000, 0.0000, 0.1329], [0.5000, 0.5000, 0.6329], [0.0000, 0.0000, 0.3744], [0.0000, 0.5000, 0.8744], [0.5000, 0.0000, 0.8744], [0.5000, 0.5000, 0.3744]]
}

=====

(14)
{
  "formula": "ScOs3Cl",
  "functional": "GGA-PBE",
  "state": "relaxed",
  "polymorph_energy_mev_per_atom": 1393.9,
  "spacegroup": "No. 221",
  "magnetic_moment_mub_per_cell": 5.13,
  "crystal_system": "cubic",
  "raw_formation_energy_ev_per_atom": 2.666,
  "dft_energy_ev_per_atom": -5.71,
  "lattice": [[4.8063, 0.0000, 0.0000], [0.0000, 4.8063, 0.0000], [0.0000, 0.0000, 4.8063]],
  "species": ["Sc", "Os", "Os", "Os", "Cl"],
  "fractional_positions": [[0.0000, 0.0000, 0.0000], [0.0000, 0.0000, 0.5000], [0.0000, 0.5000, 0.0000], [0.5000, 0.0000, 0.0000], [0.5000, 0.5000, 0.5000]]
}

=====

(15)
{
  "formula": "ScOsCl",
  "functional": "GGA-PBE",
  "state": "relaxed",
  "polymorph_energy_mev_per_atom": 0.0,
  "spacegroup": "No. 156",
  "magnetic_moment_mub_per_cell": 0.00,
  "crystal_system": "trigonal",
  "raw_formation_energy_ev_per_atom": -0.339,
  "dft_energy_ev_per_atom": -6.81,
  "lattice": [[3.1483, 0.0000, 0.0000], [-1.5742, 2.7265, 0.0000], [0.0000, 0.0000, 7.0022]],
  "species": ["Sc", "Os", "Cl"],
  "fractional_positions": [[0.0000, 0.0000, 0.0000], [0.3333, 0.6667, 0.7274], [0.6667, 0.3333, 0.2573]]
}

=====

(16)
{
  "formula": "ScOs3Cl",
  "functional": "GGA-PBE",
  "state": "relaxed",
  "polymorph_energy_mev_per_atom": 0.0,
  "spacegroup": "No. 221",
  "magnetic_moment_mub_per_cell": 0.00,
  "crystal_system": "cubic",
  "raw_formation_energy_ev_per_atom": 1.272,
  "dft_energy_ev_per_atom": -7.10,
  "lattice": [[4.3884, 0.0000, 0.0000], [0.0000, 4.3884, 0.0000], [0.0000, 0.0000, 4.3884]],
  "species": ["Sc", "Os", "Os", "Os", "Cl"],
  "fractional_positions": [[0.0000, 0.0000, 0.0000], [0.0000, 0.5000, 0.5000], [0.5000, 0.0000, 0.5000], [0.5000, 0.5000, 0.0000], [0.5000, 0.5000, 0.5000]]
}

=====

(17)
{
  "formula": "ScOs4Cl",
  "functional": "GGA-PBE",
  "state": "relaxed",
  "spacegroup": "No. 216",
  "magnetic_moment_mub_per_cell": 1.36,
  "crystal_system": "cubic",
  "raw_formation_energy_ev_per_atom": 0.736,
  "dft_energy_ev_per_atom": -8.11,
  "lattice": [[0.0000, 3.7207, 3.7207], [3.7207, 0.0000, 3.7207], [3.7207, 3.7207, 0.0000]],
  "species": ["Sc", "Os", "Os", "Os", "Os", "Cl"],
  "fractional_positions": [[0.0000, 0.0000, 0.0000], [0.3750, 0.3750, 0.3750], [0.3750, 0.3750, 0.8750], [0.3750, 0.8750, 0.3750], [0.8750, 0.3750, 0.3750], [0.7500, 0.7500, 0.7500]]
}

=====

(18)
{
  "formula": "Sc3OsCl",
  "functional": "GGA-PBE",
  "state": "relaxed",
  "polymorph_energy_mev_per_atom": 131.8,
  "spacegroup": "No. 221",
  "magnetic_moment_mub_per_cell": 0.00,
  "crystal_system": "cubic",
  "raw_formation_energy_ev_per_atom": 0.000,
  "dft_energy_ev_per_atom": -6.41,
  "lattice": [[4.6378, 0.0000, 0.0000], [0.0000, 4.6378, 0.0000], [0.0000, 0.0000, 4.6378]],
  "species": ["Sc", "Sc", "Sc", "Os", "Cl"],
  "fractional_positions": [[0.0000, 0.0000, 0.5000], [0.0000, 0.5000, 0.0000], [0.5000, 0.0000, 0.0000], [0.5000, 0.5000, 0.5000], [0.0000, 0.0000, 0.0000]]
}

=====

(19)
{
  "formula": "Sc4OsCl",
  "functional": "GGA-PBE",
  "state": "relaxed",
  "spacegroup": "No. 216",
  "magnetic_moment_mub_per_cell": 0.39,
  "crystal_system": "cubic",
  "raw_formation_energy_ev_per_atom": 0.627,
  "dft_energy_ev_per_atom": -5.77,
  "lattice": [[0.0000, 3.9865, 3.9865], [3.9865, 0.0000, 3.9865], [3.9865, 3.9865, 0.0000]],
  "species": ["Sc", "Sc", "Sc", "Sc", "Os", "Cl"],
  "fractional_positions": [[0.3782, 0.3782, 0.3782], [0.3782, 0.3782, 0.8655], [0.3782, 0.8655, 0.3782], [0.8655, 0.3782, 0.3782], [0.7500, 0.7500, 0.7500], [0.0000, 0.0000, 0.0000]]
}

=====

(20)
{
  "formula": "ScOsCl3",
  "functional": "GGA-PBE",
  "state": "relaxed",
  "polymorph_energy_mev_per_atom": 0.0,
  "spacegroup": "No. 221",
  "magnetic_moment_mub_per_cell": 4.00,
  "crystal_system": "cubic",
  "raw_formation_energy_ev_per_atom": 0.036,
  "dft_energy_ev_per_atom": -4.58,
  "lattice": [[5.0350, 0.0000, 0.0000], [0.0000, 5.0350, 0.0000], [0.0000, 0.0000, 5.0350]],
  "species": ["Sc", "Os", "Cl", "Cl", "Cl"],
  "fractional_positions": [[0.0000, 0.0000, 0.0000], [0.5000, 0.5000, 0.5000], [0.0000, 0.0000, 0.5000], [0.0000, 0.5000, 0.0000], [0.5000, 0.0000, 0.0000]]
}